[1]
The following is a DFT calculation (GGA-PBE) of NbAgPtBr2 after structural relaxation.

Output
The magnetization is 2.25 Bohr magnetons per cell.

abc: 4.9053 5.7834 4.9053
angles: 90.00 90.00 90.00
With the nearest neighbours (Å) after each atom.
Fractional positions:
1 Nb 0.0000 0.5000 0.0000  2 Ag 2.89
2 Br 0.0000 0.0000 0.5000  2 Ag 2.45
3 Br 0.5000 0.0000 0.0000  2 Ag 2.45
4 Ag 0.0000 0.0000 0.0000  4 Br 2.45
5 Pt 0.5000 0.5000 0.5000  4 Nb 3.47, 8 Br 3.79


[2]
The following is a DFT calculation (GGA-PBE) of RbNbAg2Br8 after structural relaxation.

Output
The magnetization is 0.00 Bohr magnetons per cell.

abc: 6.6958 7.9178 9.8645
angles: 61.74 86.29 93.56
With the nearest neighbours (Å) after each atom.
Fractional positions:
1 Rb 0.0000 0.0000 0.5000  6 Br 3.55-3.69
2 Nb 0.0000 0.0000 0.0000  6 Br 2.53-2.59
3 Ag 0.5209 0.3578 0.6670  4 Br 2.67-2.86
4 Ag 0.4791 0.6422 0.3330  4 Br 2.67-2.86
5 Br 0.0819 0.7485 0.2708  1 Nb 2.59, 1 Ag 2.86
6 Br 0.6660 0.7981 0.0410  1 Nb 2.56, 1 Ag 2.71
7 Br 0.8343 0.1859 0.1171  1 Nb 2.53
8 Br 0.9181 0.2515 0.7292  1 Nb 2.59, 1 Ag 2.86
9 Br 0.3340 0.2019 0.9590  1 Nb 2.56, 1 Ag 2.71
10 Br 0.1657 0.8141 0.8829  1 Nb 2.53
11 Br 0.5234 0.7412 0.5540  2 Ag 2.67-2.69
12 Br 0.4766 0.2588 0.4460  2 Ag 2.67-2.69


[3]
The following is a DFT calculation (GGA-PBE) of NbAgRhBr2 after structural relaxation.

Output
The magnetization is 2.60 Bohr magnetons per cell.

abc: 5.0400 5.1591 5.0400
angles: 90.00 90.00 90.00
With the nearest neighbours (Å) after each atom.
Fractional positions:
1 Nb 0.5000 0.5000 0.5000  4 Rh 3.56, 8 Br 3.61
2 Rh 0.0000 0.5000 0.0000  2 Ag 2.58
3 Br 0.0000 0.0000 0.5000  2 Ag 2.52
4 Br 0.5000 0.0000 0.0000  2 Ag 2.52
5 Ag 0.0000 0.0000 0.0000  4 Br 2.52, 2 Rh 2.58


[4]
The following is a DFT calculation (GGA-PBE) of NbAgSb2Br after structural relaxation.

Output
The magnetization is 2.46 Bohr magnetons per cell.

abc: 5.5532 4.8634 5.5532
angles: 90.00 90.00 90.00
With the nearest neighbours (Å) after each atom.
Fractional positions:
1 Sb 0.0000 0.0000 0.5000  2 Br 2.78
2 Sb 0.5000 0.0000 0.0000  2 Br 2.78
3 Nb 0.5000 0.5000 0.5000  8 Sb 3.69, 4 Ag 3.93
4 Br 0.0000 0.0000 0.0000  2 Ag 2.43
5 Ag 0.0000 0.5000 0.0000  2 Br 2.43


[5]
The following is a DFT calculation (GGA-PBE) of NbAgSeBr2 after structural relaxation.

Output
The value obtained for the relative energy among the computed polymorphs is 0.0 kJ/mol of atoms. The magnetization is 0.93 Bohr magnetons per cell.

abc: 5.2653 5.2653 5.0201
angles: 90.00 90.00 90.00
With the nearest neighbours (Å) after each atom.
Fractional positions:
1 Nb 0.0000 0.0000 0.0000  2 Se 2.51, 4 Br 2.63
2 Se 0.0000 0.0000 0.5000  2 Nb 2.51
3 Br 0.0000 0.5000 0.0000  2 Nb 2.63
4 Br 0.5000 0.0000 0.0000  2 Nb 2.63
5 Ag 0.5000 0.5000 0.5000  8 Br 3.64, 4 Se 3.72


[6]
The following is a DFT calculation (GGA-PBE) of NbAgSeBr2 after structural relaxation.

Output
The value obtained for the relative energy among the computed polymorphs is 75.0 kJ/mol of atoms. The magnetization is 2.90 Bohr magnetons per cell.

abc: 5.1449 5.1449 5.2148
angles: 90.00 90.00 90.00
With the nearest neighbours (Å) after each atom.
Fractional positions:
1 Nb 0.5000 0.5000 0.5000  4 Se 3.64, 8 Br 3.66
2 Se 0.0000 0.0000 0.5000  2 Ag 2.61
3 Br 0.0000 0.5000 0.0000  2 Ag 2.57
4 Br 0.5000 0.0000 0.0000  2 Ag 2.57
5 Ag 0.0000 0.0000 0.0000  4 Br 2.57, 2 Se 2.61


[7]
The following is a DFT calculation (GGA-PBE) of NbSi2AgBr after structural relaxation.

Output
The magnetization is 2.86 Bohr magnetons per cell.

abc: 4.6362 5.7561 4.6362
angles: 90.00 90.00 90.00
With the nearest neighbours (Å) after each atom.
Fractional positions:
1 Nb 0.0000 0.5000 0.0000  2 Ag 2.88
2 Si 0.0000 0.0000 0.5000  2 Ag 2.32
3 Si 0.5000 0.0000 0.0000  2 Ag 2.32
4 Br 0.5000 0.5000 0.5000  4 Nb 3.28
5 Ag 0.0000 0.0000 0.0000  4 Si 2.32


[8]
The following is a DFT calculation (GGA-PBE) of NbAgW2Br after structural relaxation.

Output
The magnetization is 0.00 Bohr magnetons per cell.

abc: 4.6174 4.7231 4.6174
angles: 90.00 90.00 90.00
With the nearest neighbours (Å) after each atom.
Fractional positions:
1 Nb 0.0000 0.5000 0.0000  2 Br 2.36
2 Br 0.0000 0.0000 0.0000  4 W 2.31, 2 Nb 2.36
3 Ag 0.5000 0.5000 0.5000  4 Nb 3.26, 8 W 3.30
4 W 0.0000 0.0000 0.5000  2 Br 2.31
5 W 0.5000 0.0000 0.0000  2 Br 2.31


For each record above, in turn, the calculated raw formation energy values are 6.660 -9.730 6.399 6.316 -0.388 3.500 5.970 9.289 eV/f.u..
For each record above, in turn, the calculated VASP energy values are -0.23002 -0.24409 -0.25312 -0.24288 -0.29604 -0.23889 -0.28621 -0.45880 Ry per atom.
For each record above, in turn, the calculated theoretical density values are 6.63 3.75 5.87 5.80 5.24 5.29 4.52 10.69 g cm⁻³.